Compound: Zn3Ga2Au6
Source: Alexandria
Functional: PBE
Structure: relaxed

Output
* crystal system: tetragonal
* space-group type: No. 139
* energy relative to the elements: -4 kJ/mol of atoms

Unit cell a=4.2014 b=4.2014 c=12.3124 alpha=99.82 beta=99.82 gamma=90.00
Last column: nearest neighbours and their distance in Å.
Fractional coordinates of all 11 atoms:
Zn1 0.0000 0.0000 0.0000  8 Au 2.67
Zn2 0.8546 0.8546 0.7092  5 Au 2.54-2.79
Zn3 0.1454 0.1454 0.2908  5 Au 2.54-2.79
Ga1 0.3570 0.3570 0.7141  5 Au 2.51-2.75
Ga2 0.6430 0.6430 0.2859  5 Au 2.51-2.75
Au1 0.0689 0.5689 0.1378  4 Zn 2.67-2.79, 2 Ga 2.75, 4 Au 2.97
Au2 0.5689 0.0689 0.1378  4 Zn 2.67-2.79, 2 Ga 2.75, 4 Au 2.97
Au3 0.9311 0.4311 0.8622  4 Zn 2.67-2.79, 2 Ga 2.75, 4 Au 2.97
Au4 0.4311 0.9311 0.8622  4 Zn 2.67-2.79, 2 Ga 2.75, 4 Au 2.97
Au5 0.7481 0.7481 0.4962  1 Ga 2.51, 1 Zn 2.54
Au6 0.2519 0.2519 0.5038  1 Ga 2.51, 1 Zn 2.54

Compound: Ca2YW
Source: Alexandria
Functional: PBE
Structure: relaxed

Output
* crystal system: orthorhombic
* space-group type: No. 47
* ΔE to the lowest computed polymorph: 0.216 eV per atom
* energy relative to the elements: 78 kJ/mol of atoms

Unit cell a=3.1355 b=5.1231 c=6.5780 alpha=90.00 beta=90.00 gamma=90.00
Last column: nearest neighbours and their distance in Å.
Fractional coordinates of all 4 atoms:
Y1 0.5000 0.5000 0.7500  2 Y 3.14, 2 W 3.29, 8 Ca 3.51
Ca1 0.0000 0.0000 0.0251  3 Ca 2.96-3.14
Ca2 0.0000 0.0000 0.4749  3 Ca 2.96-3.14
W1 0.5000 0.5000 0.2500  2 W 3.14, 2 Y 3.29, 8 Ca 3.35

Compound: Ir2AuCl
Source: Alexandria
Functional: PBE
Structure: relaxed

Output
* crystal system: orthorhombic
* space-group type: No. 35
* formation energy without anion corrections: 0.4585 eV per atom
* ΔE to the lowest computed polymorph: 0.133 eV per atom

Unit cell a=2.8623 b=2.8623 c=10.2613 alpha=90.00 beta=90.00 gamma=121.93
Last column: nearest neighbours and their distance in Å.
Fractional coordinates of all 4 atoms:
Ir1 0.0000 0.0000 0.0050  2 Cl 2.46, 2 Ir 2.61
Ir2 0.5000 0.5000 0.2201  8 Ir 2.61-2.86, 2 Au 2.89
Au1 0.0000 0.0000 0.4672  6 Au 2.78-2.86, 2 Ir 2.89
Cl1 0.5000 0.5000 0.8076  2 Ir 2.46

Compound: CaMn2Au
Source: Alexandria
Functional: PBE
Structure: relaxed

Output
* crystal system: monoclinic
* space-group type: No. 12
* energy relative to the elements: 31 kJ/mol of atoms

Unit cell a=4.9382 b=4.9382 c=5.1235 alpha=74.50 beta=74.50 gamma=40.80
Last column: nearest neighbours and their distance in Å.
Fractional coordinates of all 4 atoms:
Ca1 0.7500 0.7500 0.7500  4 Au 3.09, 8 Mn 3.21-3.35, 2 Ca 3.44
Mn1 0.9835 0.9835 0.1444  2 Mn 2.10
Mn2 0.5165 0.5165 0.3556  2 Mn 2.10
Au1 0.2500 0.2500 0.2500  6 Mn 2.67-2.69

Compound: Sc2TiRe
Source: Alexandria
Functional: PBE
Structure: relaxed

Output
* crystal system: tetragonal
* space-group type: No. 122
* ΔE to the lowest computed polymorph: 0.377 eV per atom
* energy relative to the elements: 51 kJ/mol of atoms

Unit cell a=7.5487 b=7.5487 c=6.0273 alpha=51.23 beta=51.23 gamma=90.00
Last column: nearest neighbours and their distance in Å.
Fractional coordinates of all 8 atoms:
Sc1 0.6516 0.1250 0.2500  2 Re 2.63, 2 Sc 2.83, 2 Ti 2.90
Sc2 0.0984 0.6250 0.2500  2 Re 2.63, 2 Sc 2.83, 2 Ti 2.90
Sc3 0.3750 0.3484 0.7500  2 Re 2.63, 2 Sc 2.83, 2 Ti 2.90
Sc4 0.8750 0.9016 0.7500  2 Re 2.63, 2 Sc 2.83, 2 Ti 2.90
Re1 0.0000 0.0000 0.0000  4 Sc 2.63, 2 Ti 2.80
Re2 0.7500 0.2500 0.5000  4 Sc 2.63, 2 Ti 2.80
Ti1 0.5000 0.5000 0.0000  2 Re 2.80, 4 Sc 2.90
Ti2 0.2500 0.7500 0.5000  2 Re 2.80, 4 Sc 2.90